[1]
A relaxed structure of Pm3SmEr. Source: Alexandria, functional PBE.

Unit cell a=6.2531 b=18.0943 c=6.2622 alpha=90.00 beta=109.22 gamma=90.00
Space group C2/c (No. 15)
One atom of each set of equivalent atoms:
1 Pm 0.0000 0.0512 0.2500 [4 per cell]
2 Pm 0.0000 0.2498 0.2500 [4 per cell]
3 Pm 0.0000 0.4493 0.2500 [4 per cell]
4 Sm 0.0000 0.1501 0.7500 [4 per cell]
5 Er 0.0000 0.3500 0.7500 [4 per cell]

Output
VASP energy: -4.692 eV per atom
Crystal system: monoclinic
Polymorph energy (0 for the lowest one): 0.000 eV/atom
Energy of formation: 0.01 eV per atom
N(E_F): 1.386 states/eV per atom

[2]
A relaxed structure of MnCdHN. Source: Alexandria, functional PBE.

Unit cell a=3.0389 b=3.2869 c=9.8659 alpha=90.00 beta=90.00 gamma=90.00
Space group Amm2 (No. 38)
One atom of each set of equivalent atoms:
1 Mn 0.0000 0.0000 0.0000 [2 per cell]
2 Cd 0.5000 0.0000 0.2358 [2 per cell]
3 H 0.0000 0.0000 0.5491 [2 per cell]
4 N 0.5000 0.0000 0.9150 [2 per cell]

Output
VASP energy: -5.263 eV per atom
Crystal system: orthorhombic
Polymorph energy (0 for the lowest one): 0.221 eV/atom
N(E_F): 0.247 states/eV per atom

[3]
A relaxed structure of Cu2RhSe. Source: Alexandria, functional PBE.

Unit cell a=2.9314 b=2.9314 c=23.7743 alpha=90.00 beta=90.00 gamma=120.00
Space group R3m (No. 160, hexagonal axes)
One atom of each set of equivalent atoms:
1 Cu 0.0000 0.0000 0.0000 [3 per cell]
2 Cu 0.0000 0.0000 0.2549 [3 per cell]
3 Rh 0.0000 0.0000 0.7532 [3 per cell]
4 Se 0.0000 0.0000 0.4993 [3 per cell]

Output
VASP energy: -4.593 eV per atom
Formation energy without anion corrections: 0.16 eV per atom
Crystal system: trigonal
N(E_F): 0.478 states/eV per atom

[4]
A relaxed structure of RbGeBr2Cl. Source: Alexandria, functional PBE.

Unit cell a=5.5811 b=5.5811 c=5.2706 alpha=90.00 beta=90.00 gamma=90.00
Space group P4/mmm (No. 123)
One atom of each set of equivalent atoms:
1 Rb 0.0000 0.0000 0.0000 [1 per cell]
2 Ge 0.5000 0.5000 0.5000 [1 per cell]
3 Br 0.0000 0.5000 0.5000 [2 per cell]
4 Cl 0.5000 0.5000 0.0000 [1 per cell]

Output
VASP energy: -3.286 eV per atom
Formation energy without anion corrections: -1.13 eV per atom
Crystal system: tetragonal

[5]
A relaxed structure of Ce2Th4Ge3N2. Source: Alexandria, functional PBE.

Unit cell a=4.7653 b=4.7653 c=24.5524 alpha=90.00 beta=90.00 gamma=90.00
Space group I4/mmm (No. 139)
One atom of each set of equivalent atoms:
1 Ce 0.0000 0.0000 0.1997 [4 per cell]
2 Th 0.0000 0.5000 0.0801 [8 per cell]
3 Ge 0.0000 0.0000 0.3272 [4 per cell]
4 Ge 0.0000 0.0000 0.5000 [2 per cell]
5 N 0.0000 0.0000 0.1032 [4 per cell]

Output
VASP energy: -7.425 eV per atom
Formation energy without anion corrections: -0.88 eV per atom
Crystal system: tetragonal
N(E_F): 1.455 states/eV per atom

[6]
A relaxed structure of Zr2AsPb. Source: Alexandria, functional PBE.

Unit cell a=3.5743 b=3.6569 c=14.5555 alpha=90.00 beta=90.00 gamma=90.00
Space group Imm2 (No. 44)
One atom of each set of equivalent atoms:
1 Zr 0.0000 0.0000 0.0000 [2 per cell]
2 Zr 0.0000 0.5000 0.2963 [2 per cell]
3 As 0.0000 0.5000 0.8649 [2 per cell]
4 Pb 0.0000 0.0000 0.6257 [2 per cell]

Output
VASP energy: -6.879 eV per atom
Crystal system: orthorhombic
Polymorph energy (0 for the lowest one): 0.123 eV/atom
Energy of formation: -0.52 eV per atom
N(E_F): 0.653 states/eV per atom

Q: Which of these has the highest VASP energy?
A: RbGeBr2Cl

Q: What is the formula in the first record?
A: Pm3SmEr